Entry from Alexandria: an optimized crystal structure of Ac2IrRu (PBE).

Properties
total energy = -24.50 eV/cell

Lattice parameters (Å, degrees): 9.135 9.135 9.135 26.35 26.35 26.35
Atoms (fractional coordinates):
Ac1 0.101 0.101 0.101
Ac2 0.899 0.899 0.899
Ir1 0.500 0.500 0.500
Ru1 0.000 0.000 0.000